# 1
PuSc2Rh: optimized geometry, PBE-GGA.

Output
**Energy above the most stable polymorph in this dataset**: 0.190 eV/atom
**Electronic total energy**: -8.832 eV per atom
**Space-group type**: No. 160
**Magnetization**: 6.29 μB/f.u.
**Energy of formation**: -0.245 eV per atom

Cell lengths 3.2897, 3.2897, 9.5584 Å; angles 80.09, 80.09, 60.00 degrees
Last column: nearest neighbours and their distance in Å.
Sites, in units of the cell vectors:
Pu  0.5010  0.5010  0.4970  6 Pu 3.29, 6 Sc 3.35-3.41
Sc  0.0668  0.0668  0.7995  3 Rh 2.68
Sc  0.2659  0.2659  0.2023  3 Rh 2.68
Rh  0.6663  0.6663  0.0012  6 Sc 2.68



# 2
PuSc2Rh: optimized geometry, PBE-GGA.

Output
**Energy above the most stable polymorph in this dataset**: 0.000 eV/atom
**Electronic total energy**: -9.022 eV per atom
**Space-group type**: No. 123
**Magnetization**: 6.10 μB/f.u.
**Energy of formation**: -0.436 eV per atom

Cell lengths 3.2071, 3.2071, 8.2091 Å; angles 90.00, 90.00, 90.00 degrees
Last column: nearest neighbours and their distance in Å.
Sites, in units of the cell vectors:
Sc  0.0000  0.0000  0.8031  4 Rh 2.78
Sc  0.0000  0.0000  0.1969  4 Rh 2.78
Rh  0.5000  0.5000  0.0000  8 Sc 2.78
Pu  0.5000  0.5000  0.5000  4 Pu 3.21, 8 Sc 3.37



no.,density of states at the Fermi level (states/eV per atom)
1,2.178
2,1.818